A plane-wave DFT calculation with GGA-PBE was carried out for an optimized crystal structure of AlMoOs2C.

abc: 4.673 4.673 4.766
angles: 90.00 90.00 90.00
Space group P4/mmm (No. 123)
Unique sites:
Al 0.000 0.000 0.000
Mo 0.000 0.000 0.500
Os 0.000 0.500 0.500
C 0.500 0.500 0.000

Values from the calculation:
Formation energy from the elements in kJ per mole of atoms: 287
M_tot in μB/atom: 0.000